Entry 1:
Compound: KW2S
Source: Alexandria via LeMat-Bulk
Functional: PBE-GGA
Structure: optimized geometry

Computed properties:
Space group: I-42d, No. 122
Crystal system: tetragonal
E in eV/atom: -6.58

Cell lengths 9.298, 9.298, 9.298 Å; angles 149.54, 149.54, 43.62 degrees
Fractional coordinates of all 8 atoms:
K 0.000 0.000 0.000
K 0.750 0.250 0.500
W 0.368 0.125 0.743
W 0.375 0.632 0.757
W 0.382 0.625 0.257
W 0.875 0.618 0.243
S 0.250 0.750 0.500
S 0.500 0.500 0.000

Entry 2:
Compound: CuCl6F
Source: Alexandria via LeMat-Bulk
Functional: PBE-GGA
Structure: optimized geometry

Computed properties:
Space group: P-1, No. 2
Crystal system: triclinic
E in eV/atom: -2.43

Cell lengths 3.752, 8.215, 8.388 Å; angles 66.71, 87.00, 83.86 degrees
Fractional coordinates of all 8 atoms:
Cu 0.000 0.000 0.000
Cl 0.016 0.560 0.368
Cl 0.017 0.924 0.629
Cl 0.061 0.732 0.000
Cl 0.939 0.268 0.000
Cl 0.983 0.076 0.371
Cl 0.984 0.440 0.632
F 0.500 0.000 0.000